## TiFe3O (GGA+U)

Data for crystalline TiFe3O at its relaxed geometry.

Geometry as extended XYZ:
```
5
Lattice="4.786 0.000 0.000 0.000 4.786 0.000 0.000 0.000 4.786" Properties=species:S:1:pos:R:3 pbc="T T T"
Fe 0.000 2.393 0.000
Fe 0.000 0.000 2.393
Fe 2.393 0.000 0.000
O 2.393 2.393 2.393
Ti 0.000 0.000 0.000
```

Distance to the lowest polymorph of the same formula   179.19 kJ per mole of atoms
Fermi-level density of states   1.001 states/eV/atom
Crystal system   cubic